(1)
Density functional theory data (PBE) for a relaxed structure of NiHg5.

```
6
Lattice="5.588 0.000 0.000 -2.794 4.840 0.000 0.000 0.000 5.857" Properties=species:S:1:pos:R:3 pbc="T T T"
Ni 0.000 0.000 0.000
Hg -1.397 2.420 2.929
Hg 0.000 3.226 0.000
Hg 2.794 0.000 2.929
Hg 1.397 2.420 2.929
Hg 2.794 1.613 0.000
```

**Space-group type**: No. 191
**Formation enthalpy at 0 K**: 0.55 eV per atom
**Volume**: 26.4 A^3/atom



(2)
Density functional theory data (PBE) for a relaxed structure of Be2InFe.

```
4
Lattice="1.402 0.809 8.033 -1.402 0.809 8.033 0.000 -1.619 8.033" Properties=species:S:1:pos:R:3 pbc="T T T"
Be 0.000 0.000 5.755
Be 0.000 0.000 18.343
In 0.000 0.000 0.000
Fe 0.000 0.000 12.049
```

**Space-group type**: No. 166
**Formation enthalpy at 0 K**: 0.54 eV per atom
**Volume**: 13.7 A^3/atom



(3)
Density functional theory data (PBE) for a relaxed structure of PuVSe2.

```
4
Lattice="1.776 1.026 8.851 -1.776 1.026 8.851 0.000 -2.051 8.851" Properties=species:S:1:pos:R:3 pbc="T T T"
Pu 0.000 0.000 0.000
V 0.000 0.000 13.276
Se 0.000 0.000 2.908
Se 0.000 0.000 23.645
```

**Raw formation energy**: -0.490 eV/atom
**Space-group type**: No. 166
**Volume**: 24.2 A^3/atom



(4)
Density functional theory data (PBE) for a relaxed structure of PrMgBr.

```
6
Lattice="3.770 0.000 0.000 -1.882 3.320 0.000 -0.004 -1.446 13.943" Properties=species:S:1:pos:R:3 pbc="T T T"
Pr 0.000 0.000 0.000
Pr 0.001 0.738 11.012
Mg 0.006 0.077 6.467
Mg 1.891 1.219 4.450
Br 0.004 2.193 2.441
Br 1.886 -0.421 8.571
```

**Raw formation energy**: -0.596 eV/atom
**Space-group type**: No. 1
**Volume**: 29.1 A^3/atom



(5)
Density functional theory data (PBE) for a relaxed structure of La3Pm3Sc.

```
14
Lattice="9.736 0.000 0.000 -4.868 8.432 0.000 0.000 0.000 5.841" Properties=species:S:1:pos:R:3 pbc="T T T"
La -0.673 2.088 1.460
La -2.723 7.970 1.460
La 1.472 1.627 4.381
La 3.396 6.805 1.460
La 7.591 0.461 4.381
La 5.541 6.343 4.381
Pm -1.409 4.086 4.381
Pm -0.625 7.609 4.381
Pm 2.834 3.264 1.460
Pm 2.034 5.168 4.381
Pm 5.492 0.823 1.460
Pm 6.277 4.345 1.460
Sc 0.000 5.621 1.460
Sc 4.868 2.811 4.381
```

**Distance to the lowest polymorph of the same formula**: 0.000 eV per atom
**Space-group type**: No. 176
**Formation enthalpy at 0 K**: 0.05 eV per atom
**Volume**: 34.3 A^3/atom



(6)
Density functional theory data (PBE) for a relaxed structure of Zn2CuOsAu.

```
5
Lattice="4.386 0.000 0.000 0.000 4.386 0.000 0.000 0.000 4.611" Properties=species:S:1:pos:R:3 pbc="T T T"
Zn 0.000 2.193 0.000
Zn 2.193 0.000 0.000
Cu 0.000 0.000 0.000
Os 0.000 0.000 2.305
Au 2.193 2.193 2.305
```

**Space-group type**: No. 123
**Formation enthalpy at 0 K**: 0.94 eV per atom
**Volume**: 17.7 A^3/atom



(7)
Density functional theory data (PBE) for a relaxed structure of Nd3ErTl2.

```
12
Lattice="5.230 0.000 0.000 0.000 10.316 0.000 0.000 0.000 6.851" Properties=species:S:1:pos:R:3 pbc="T T T"
Nd 0.000 0.395 0.000
Nd 0.000 3.325 2.496
Nd 0.000 6.990 5.922
Nd 0.000 9.920 3.426
Nd 2.615 1.959 5.033
Nd 2.615 8.357 1.608
Er 2.615 4.758 0.631
Er 2.615 5.558 4.056
Tl 0.000 3.765 5.795
Tl 0.000 6.551 2.370
Tl 2.615 1.430 1.753
Tl 2.615 8.885 5.178
```

**Distance to the lowest polymorph of the same formula**: 0.000 eV per atom
**Space-group type**: No. 26
**Formation enthalpy at 0 K**: -0.27 eV per atom
**Volume**: 30.8 A^3/atom



(8)
Density functional theory data (PBE) for a relaxed structure of LaTb2Pr2Tm.

```
12
Lattice="7.093 0.000 0.000 0.000 5.750 0.000 0.000 0.000 9.970" Properties=species:S:1:pos:R:3 pbc="T T T"
La 0.000 0.000 0.000
La 3.547 0.000 0.000
Tb 1.773 0.000 3.330
Tb 1.773 2.875 8.294
Tb 5.320 0.000 6.640
Tb 5.320 2.875 1.676
Pr 0.000 2.875 4.985
Pr 1.773 0.000 6.667
Pr 3.547 2.875 4.985
Pr 5.320 0.000 3.303
Tm 1.773 2.875 1.647
Tm 5.320 2.875 8.323
```

**Space-group type**: No. 51
**Formation enthalpy at 0 K**: 0.06 eV per atom
**Volume**: 33.9 A^3/atom



(9)
Density functional theory data (PBE) for a relaxed structure of Li2PrHo2Tl2.

```
7
Lattice="2.442 1.410 8.974 -2.442 1.410 8.974 0.000 -2.820 8.974" Properties=species:S:1:pos:R:3 pbc="T T T"
Li 0.000 0.000 2.527
Li 0.000 0.000 24.395
Pr 0.000 0.000 13.461
Ho 0.000 0.000 9.996
Ho 0.000 0.000 16.926
Tl 0.000 0.000 6.511
Tl 0.000 0.000 20.410
```

**Space-group type**: No. 166
**Formation enthalpy at 0 K**: -0.19 eV per atom
**Volume**: 26.5 A^3/atom



(10)
Density functional theory data (PBE) for a relaxed structure of TiBiP2S.

```
5
Lattice="5.126 0.000 0.000 0.000 5.126 0.000 0.000 0.000 5.098" Properties=species:S:1:pos:R:3 pbc="T T T"
Ti 0.000 0.000 0.000
Bi 2.563 2.563 2.549
P 0.000 2.563 2.549
P 2.563 0.000 2.549
S 2.563 2.563 0.000
```

**Distance to the lowest polymorph of the same formula**: 1.214 eV per atom
**Raw formation energy**: 1.218 eV/atom
**Space-group type**: No. 123
**Volume**: 26.8 A^3/atom



(11)
Density functional theory data (PBE) for a relaxed structure of YGaPd3.

```
5
Lattice="5.079 0.000 0.000 0.000 5.079 0.000 0.000 0.000 5.079" Properties=species:S:1:pos:R:3 pbc="T T T"
Y 0.000 0.000 0.000
Ga 2.539 2.539 2.539
Pd 0.000 0.000 2.539
Pd 0.000 2.539 0.000
Pd 2.539 0.000 0.000
```

**Distance to the lowest polymorph of the same formula**: 1.001 eV per atom
**Space-group type**: No. 221
**Formation enthalpy at 0 K**: 0.56 eV per atom
**Volume**: 26.2 A^3/atom



(12)
Density functional theory data (PBE) for a relaxed structure of AlHgSb2.

```
4
Lattice="-2.523 2.523 3.947 2.523 -2.523 3.947 2.523 2.523 -3.947" Properties=species:S:1:pos:R:3 pbc="T T T"
Al 0.000 0.000 0.000
Hg 2.523 0.000 1.973
Sb 0.000 0.000 3.947
Sb 0.000 2.523 1.973
```

**Distance to the lowest polymorph of the same formula**: 0.187 eV per atom
**Raw formation energy**: 0.247 eV/atom
**Space-group type**: No. 119
**Volume**: 25.1 A^3/atom